No. 1
This record from Alexandria describes an optimized crystal structure of Zn2PtAu. The functional is GGA-PBEsol.

Structure (POSCAR):
```
Zn2PtAu
1.0
2.830 0.000 0.000
0.000 2.830 0.000
0.000 0.000 7.311
Au Zn Pt
1 2 1
Direct
0.500 0.500 0.000
0.000 0.000 0.737
0.000 0.000 0.263
0.500 0.500 0.500
```

Results
The calculation puts the formation energy at -0.384 eV/atom. As for the space-group type: P4/mmm, No. 123. The calculation puts the density of states at the Fermi level at 1.12 states/eV per cell.



No. 2
This record from Alexandria describes an optimized crystal structure of Ta2ZnH2. The functional is GGA-PBEsol.

Structure (POSCAR):
```
Ta2ZnH2
1.0
3.540 0.000 0.000
0.000 3.540 0.000
-1.770 -1.770 4.367
Ta H Zn
2 2 1
Direct
0.662 0.662 0.325
0.338 0.338 0.675
0.250 0.750 0.500
0.750 0.250 0.500
0.000 0.000 0.000
```

Results
As for the total energy: -6.714 eV/atom. As for the space-group type: I4/mmm, No. 139. The calculation puts the density of states at the Fermi level at 1.72 states/eV per cell.



No. 3
This record from Alexandria describes an optimized crystal structure of Sb2TePb. The functional is GGA-PBEsol.

Structure (POSCAR):
```
Sb2TePb
1.0
3.748 0.000 0.000
0.000 5.426 0.000
0.000 0.000 5.417
Sb Te Pb
2 1 1
Direct
0.000 0.000 0.000
0.500 0.500 0.000
0.500 0.000 0.500
0.000 0.500 0.500
```

Results
As for the energy above the most stable polymorph in this dataset: 0.190 eV/atom. Its uncorrected formation energy is 74 meV per atom. As for the space-group type: Pmmm, No. 47. The calculation puts the density of states at the Fermi level at 2.58 states/eV per cell.



No. 4
This record from Alexandria describes an optimized crystal structure of Re2PSe. The functional is GGA-PBEsol.

Structure (POSCAR):
```
Re2PSe
1.0
2.800 -0.003 0.000
-1.325 2.467 0.000
0.000 0.000 9.439
Re P Se
2 1 1
Direct
0.500 0.500 0.761
0.000 0.000 0.000
0.500 0.500 0.204
0.000 0.000 0.535
```

Results
As for the energy above the most stable polymorph in this dataset: 0.415 eV/atom. Its uncorrected formation energy is 444 meV per atom. As for the space-group type: Cmm2, No. 35. The calculation puts the density of states at the Fermi level at 3.35 states/eV per cell.



No. 5
This record from Alexandria describes an optimized crystal structure of NaBeSe2Br. The functional is GGA-PBEsol.

Structure (POSCAR):
```
NaBeSe2Br
1.0
-0.607 0.062 5.009
4.180 -2.775 0.541
2.791 4.260 0.286
Be Se Br Na
1 2 1 1
Direct
0.500 0.500 0.500
0.000 0.500 0.000
0.500 0.000 0.000
0.000 0.000 0.500
0.000 0.000 0.000
```

Results
Its uncorrected formation energy is 895 meV per atom. As for the space-group type: P4/mmm, No. 123. The calculation puts the density of states at the Fermi level at 6.84 states/eV per cell.



No. 6
This record from Alexandria describes an optimized crystal structure of Zn2Ag2Ge. The functional is GGA-PBEsol.

Structure (POSCAR):
```
Zn2Ag2Ge
1.0
-0.643 -3.415 0.562
0.296 -0.624 -3.452
6.858 0.888 2.222
Ge Zn Ag
1 2 2
Direct
0.000 0.000 0.000
0.750 0.250 0.500
0.250 0.750 0.500
0.602 0.602 0.205
0.398 0.398 0.795
```

Results
The calculation puts the formation energy at 0.142 eV/atom. As for the space-group type: I4/mmm, No. 139. The calculation puts the density of states at the Fermi level at 1.52 states/eV per cell.



No. 7
This record from Alexandria describes an optimized crystal structure of ScAg3H. The functional is GGA-PBEsol.

Structure (POSCAR):
```
ScAg3H
1.0
5.210 0.000 0.000
0.000 5.210 0.000
0.000 0.000 5.210
Ag Sc H
3 1 1
Direct
0.000 0.000 0.500
0.000 0.500 0.000
0.500 0.000 0.000
0.000 0.000 0.000
0.500 0.500 0.500
```

Results
As for the total energy: -2.463 eV/atom. As for the space-group type: Pm-3m, No. 221. The calculation puts the density of states at the Fermi level at 3.44 states/eV per cell.



No. 8
This record from Alexandria describes an optimized crystal structure of Cs3LaO3. The functional is GGA-PBEsol.

Structure (POSCAR):
```
Cs3LaO3
1.0
7.574 0.004 0.005
-3.371 6.782 0.005
-0.621 -1.003 7.593
O Cs La
6 6 2
Direct
0.106 0.106 0.855
0.462 0.179 0.269
0.179 0.462 0.269
0.894 0.894 0.145
0.538 0.821 0.731
0.821 0.538 0.731
0.255 0.745 0.000
0.787 0.213 0.500
0.353 0.353 0.644
0.647 0.647 0.356
0.213 0.787 0.500
0.745 0.255 0.000
0.185 0.185 0.158
0.815 0.815 0.842
```

Results
As for the energy above the most stable polymorph in this dataset: 0.022 eV/atom. Its uncorrected formation energy is -1875 meV per atom. As for the space-group type: C2/m, No. 12. The calculation puts the density of states at the Fermi level at 0.00 states/eV per cell.



No. 9
This record from Alexandria describes an optimized crystal structure of Li3Hg. The functional is GGA-PBEsol.

Structure (POSCAR):
```
Li3Hg
1.0
4.554 0.000 0.000
2.277 3.944 0.000
2.277 1.315 3.718
Hg Li
1 3
Direct
0.000 0.000 0.000
0.750 0.750 0.750
0.250 0.250 0.250
0.500 0.500 0.500
```

Results
The calculation puts the formation energy at -0.307 eV/atom. As for the energy above the most stable polymorph in this dataset: 0.001 eV/atom. As for the space-group type: Fm-3m, No. 225. The calculation puts the density of states at the Fermi level at 1.61 states/eV per cell.



No. 10
This record from Alexandria describes an optimized crystal structure of IrRhW2. The functional is GGA-PBEsol.

Structure (POSCAR):
```
IrRhW2
1.0
2.748 0.000 0.000
0.000 4.426 0.000
0.000 0.000 4.797
W Ir Rh
2 1 1
Direct
0.000 0.500 0.703
0.000 0.000 0.049
0.500 0.000 0.549
0.500 0.500 0.199
```

Results
The calculation puts the formation energy at -0.252 eV/atom. As for the energy above the most stable polymorph in this dataset: 0.000 eV/atom. As for the space-group type: Pmm2, No. 25. The calculation puts the density of states at the Fermi level at 2.66 states/eV per cell.



No. 11
This record from Alexandria describes an optimized crystal structure of MgCr2Pb. The functional is GGA-PBEsol.

Structure (POSCAR):
```
MgCr2Pb
1.0
2.992 0.000 0.107
0.000 4.681 0.000
-0.097 0.000 5.140
Pb Cr Mg
1 2 1
Direct
0.000 0.500 0.500
0.174 0.000 0.160
0.826 0.000 0.840
0.500 0.500 0.000
```

Results
The calculation puts the formation energy at 0.693 eV/atom. As for the space-group type: P2/m, No. 10. The calculation puts the density of states at the Fermi level at 3.54 states/eV per cell.



No. 12
This record from Alexandria describes an optimized crystal structure of La3Pm. The functional is GGA-PBEsol.

Structure (POSCAR):
```
La3Pm
1.0
5.120 0.000 0.000
0.000 5.120 0.000
-2.560 -2.560 5.093
La Pm
3 1
Direct
0.750 0.250 0.500
0.250 0.750 0.500
0.500 0.500 0.000
0.000 0.000 0.000
```

Results
The calculation puts the formation energy at 0.012 eV/atom. As for the space-group type: I4/mmm, No. 139. The calculation puts the density of states at the Fermi level at 6.92 states/eV per cell.



No. 13
This record from Alexandria describes an optimized crystal structure of Ni7Mo9P6. The functional is GGA-PBEsol.

Structure (POSCAR):
```
Ni7Mo9P6
1.0
-6.116 -2.815 1.719
-0.440 -4.046 5.660
-2.492 3.577 5.476
P Mo Ni
6 9 7
Direct
0.704 0.872 0.223
0.701 0.332 0.766
0.099 0.736 0.770
0.296 0.128 0.777
0.901 0.264 0.230
0.299 0.668 0.234
0.000 0.000 0.000
0.302 0.051 0.162
0.058 0.136 0.553
0.942 0.864 0.447
0.437 0.715 0.860
0.924 0.472 0.845
0.076 0.528 0.155
0.563 0.285 0.140
0.698 0.949 0.838
0.367 0.715 0.504
0.633 0.285 0.496
0.355 0.381 0.831
0.500 0.000 0.500
0.219 0.418 0.496
0.781 0.582 0.504
0.645 0.619 0.169
```

Results
The calculation puts the formation energy at -0.523 eV/atom. As for the space-group type: P-1, No. 2. The calculation puts the density of states at the Fermi level at 15.31 states/eV per cell.



No. 14
This record from Alexandria describes an optimized crystal structure of Li2ScIn. The functional is GGA-PBEsol.

Structure (POSCAR):
```
Li2ScIn
1.0
-4.607 0.662 -1.062
-3.304 -2.965 1.756
-3.029 1.523 3.361
Li In Sc
2 1 1
Direct
0.750 0.750 0.750
0.500 0.500 0.500
0.250 0.250 0.250
0.000 0.000 0.000
```

Results
The calculation puts the formation energy at -0.257 eV/atom. As for the space-group type: F-43m, No. 216. The calculation puts the density of states at the Fermi level at 1.33 states/eV per cell.



No. 15
This record from Alexandria describes an optimized crystal structure of KLi3Rh. The functional is GGA-PBEsol.

Structure (POSCAR):
```
KLi3Rh
1.0
4.861 0.000 0.000
0.000 4.861 0.000
0.000 0.000 4.861
Li Rh K
3 1 1
Direct
0.500 0.000 0.000
0.000 0.000 0.500
0.000 0.500 0.000
0.000 0.000 0.000
0.500 0.500 0.500
```

Results
The calculation puts the formation energy at 0.233 eV/atom. As for the space-group type: Pm-3m, No. 221. The calculation puts the density of states at the Fermi level at 1.90 states/eV per cell.



No. 16
This record from Alexandria describes an optimized crystal structure of CrGaHg2O. The functional is GGA-PBEsol.

Structure (POSCAR):
```
CrGaHg2O
1.0
3.559 0.000 0.000
0.000 5.330 0.000
0.000 0.000 5.330
Hg O Cr Ga
2 1 1 1
Direct
0.000 0.000 0.500
0.000 0.500 0.000
0.500 0.000 0.000
0.500 0.500 0.500
0.000 0.000 0.000
```

Results
Its uncorrected formation energy is 245 meV per atom. As for the space-group type: P4/mmm, No. 123. The calculation puts the density of states at the Fermi level at 2.30 states/eV per cell.



No. 17
This record from Alexandria describes an optimized crystal structure of YSc2Zn. The functional is GGA-PBEsol.

Structure (POSCAR):
```
YSc2Zn
1.0
3.312 0.000 0.000
0.000 3.312 0.000
0.000 0.000 8.237
Zn Sc Y
1 2 1
Direct
0.500 0.500 0.500
0.000 0.000 0.700
0.000 0.000 0.300
0.500 0.500 0.000
```

Results
The calculation puts the formation energy at -0.156 eV/atom. As for the space-group type: P4/mmm, No. 123. The calculation puts the density of states at the Fermi level at 4.67 states/eV per cell.



No. 18
This record from Alexandria describes an optimized crystal structure of InHgMo. The functional is GGA-PBEsol.

Structure (POSCAR):
```
InHgMo
1.0
2.945 0.000 0.000
0.000 3.833 0.000
-1.473 -1.917 4.998
In Mo Hg
1 1 1
Direct
0.674 0.674 0.349
0.332 0.332 0.664
0.993 0.993 0.987
```

Results
The calculation puts the formation energy at 0.538 eV/atom. As for the space-group type: Imm2, No. 44. The calculation puts the density of states at the Fermi level at 2.17 states/eV per cell.



No. 19
This record from Alexandria describes an optimized crystal structure of TlSiC3. The functional is GGA-PBEsol.

Structure (POSCAR):
```
TlSiC3
1.0
3.871 0.000 0.000
0.000 3.871 0.000
0.000 0.000 3.871
C Si Tl
3 1 1
Direct
0.000 0.500 0.000
0.500 0.000 0.000
0.000 0.000 0.500
0.000 0.000 0.000
0.500 0.500 0.500
```

Results
As for the energy above the most stable polymorph in this dataset: 0.000 eV/atom. Its uncorrected formation energy is 2023 meV per atom. As for the space-group type: Pm-3m, No. 221. The calculation puts the density of states at the Fermi level at 2.98 states/eV per cell.



No. 20
This record from Alexandria describes an optimized crystal structure of Rb2ZnAgC. The functional is GGA-PBEsol.

Structure (POSCAR):
```
Rb2ZnAgC
1.0
4.800 0.000 0.000
0.000 6.397 0.000
0.000 0.000 6.397
Zn Rb Ag C
1 2 1 1
Direct
0.000 0.000 0.000
0.000 0.500 0.000
0.000 0.000 0.500
0.500 0.000 0.000
0.500 0.500 0.500
```

Results
The calculation puts the formation energy at 1.388 eV/atom. As for the space-group type: P4/mmm, No. 123. The calculation puts the density of states at the Fermi level at 1.89 states/eV per cell.



No. 21
This record from Alexandria describes an optimized crystal structure of MgMo2Pt. The functional is GGA-PBEsol.

Structure (POSCAR):
```
MgMo2Pt
1.0
-1.283 2.917 1.327
-1.376 -1.792 2.610
4.613 0.703 2.914
Pt Mo Mg
1 2 1
Direct
0.500 0.500 0.000
0.000 0.000 0.216
0.000 0.000 0.784
0.500 0.500 0.500
```

Results
The calculation puts the formation energy at 0.273 eV/atom. As for the space-group type: P4/mmm, No. 123. The calculation puts the density of states at the Fermi level at 4.26 states/eV per cell.



No. 22
This record from Alexandria describes an optimized crystal structure of LaBO2. The functional is GGA-PBEsol.

Structure (POSCAR):
```
LaBO2
1.0
2.780 0.000 0.000
1.390 2.407 0.000
1.390 0.802 6.554
O B La
2 1 1
Direct
0.123 0.123 0.630
0.877 0.877 0.370
0.500 0.500 0.500
0.000 0.000 0.000
```

Results
Its uncorrected formation energy is -741 meV per atom. As for the space-group type: R-3m, No. 166. The calculation puts the density of states at the Fermi level at 1.61 states/eV per cell.



No. 23
This record from Alexandria describes an optimized crystal structure of Tl2WBr. The functional is GGA-PBEsol.

Structure (POSCAR):
```
Tl2WBr
1.0
5.066 0.000 0.000
2.533 4.388 0.000
2.533 1.463 4.137
Br W Tl
1 1 2
Direct
0.500 0.500 0.500
0.250 0.250 0.250
0.750 0.750 0.750
0.000 0.000 0.000
```

Results
As for the energy above the most stable polymorph in this dataset: 0.557 eV/atom. Its uncorrected formation energy is 1137 meV per atom. As for the space-group type: F-43m, No. 216. The calculation puts the density of states at the Fermi level at 1.28 states/eV per cell.



No. 24
This record from Alexandria describes an optimized crystal structure of MgCuTe2. The functional is GGA-PBEsol.

Structure (POSCAR):
```
MgCuTe2
1.0
-1.618 3.265 -0.760
-2.862 -0.906 2.201
2.948 2.603 4.904
Mg Te Cu
1 2 1
Direct
0.500 0.500 0.500
0.000 0.000 0.243
0.000 0.000 0.757
0.500 0.500 0.000
```

Results
As for the energy above the most stable polymorph in this dataset: 0.290 eV/atom. Its uncorrected formation energy is 39 meV per atom. As for the space-group type: P4/mmm, No. 123. The calculation puts the density of states at the Fermi level at 1.89 states/eV per cell.



No. 25
This record from Alexandria describes an optimized crystal structure of Na2ZnH8S2O12. The functional is GGA-PBEsol.

Structure (POSCAR):
```
Na2ZnH8S2O12
1.0
5.457 0.000 -0.012
0.000 8.221 0.000
-1.809 0.000 10.841
S H O Na Zn
4 16 24 4 2
Direct
0.385 0.711 0.138
0.385 0.789 0.638
0.615 0.289 0.862
0.615 0.211 0.362
0.222 0.138 0.844
0.763 0.443 0.682
0.778 0.862 0.156
0.778 0.638 0.656
0.241 0.226 0.506
0.759 0.726 0.994
0.241 0.274 0.006
0.668 0.802 0.863
0.763 0.057 0.182
0.759 0.774 0.494
0.332 0.198 0.137
0.668 0.698 0.363
0.222 0.362 0.344
0.237 0.943 0.818
0.237 0.557 0.318
0.332 0.302 0.637
0.632 0.280 0.726
0.224 0.581 0.079
0.653 0.677 0.130
0.776 0.081 0.421
0.632 0.220 0.226
0.368 0.720 0.274
0.347 0.177 0.370
0.822 0.784 0.925
0.323 0.629 0.579
0.822 0.716 0.425
0.876 0.966 0.165
0.224 0.919 0.579
0.124 0.466 0.335
0.776 0.419 0.921
0.677 0.371 0.421
0.677 0.129 0.921
0.323 0.871 0.079
0.124 0.034 0.835
0.178 0.284 0.575
0.876 0.534 0.665
0.347 0.323 0.870
0.653 0.823 0.630
0.368 0.780 0.774
0.178 0.216 0.075
0.883 0.423 0.137
0.117 0.577 0.863
0.117 0.923 0.363
0.883 0.077 0.637
0.000 0.500 0.500
0.000 0.000 0.000
```

Results
As for the total energy: -5.494 eV/atom. As for the space-group type: P2_1/c, No. 14. The calculation puts the density of states at the Fermi level at 0.00 states/eV per cell.